{
  "formula": "SrTa2TlO7",
  "functional": "PBE",
  "state": "optimized geometry",
  "lattice": [[-1.988, 1.988, 10.672], [1.988, -1.988, 10.672], [1.988, 1.988, -10.672]],
  "species": ["Sr", "Ta", "Ta", "Tl", "O", "O", "O", "O", "O", "O", "O"],
  "frac_coords": [[0.000, 0.000, 0.000], [0.401, 0.401, 0.000], [0.599, 0.599, 0.000], [0.750, 0.250, 0.500], [0.087, 0.587, 0.500], [0.311, 0.311, 0.000], [0.413, 0.913, 0.500], [0.500, 0.500, 0.000], [0.591, 0.091, 0.500], [0.689, 0.689, 0.000], [0.909, 0.409, 0.500]],
  "crystal_system": "tetragonal",
  "spacegroup": "No. 119",
  "e_form_raw_ev_per_atom": -2.538
}